Entry 1:
First-principles (PBE) data for crystalline HgMoW at its relaxed geometry, as listed in Alexandria via LeMat-Bulk.

abc: 2.7553 2.7553 13.8434
angles: 90.00 90.00 90.00
Space group I4mm (No. 107)
Unique sites:
Hg  0.0000  0.0000  0.0000 [2 per cell]
Mo  0.0000  0.0000  0.6693 [2 per cell]
W  0.0000  0.0000  0.3297 [2 per cell]

Output
N(E_F) = 4.302 states/eV per cell
E_tot = -7.360 eV/atom
E above lowest polymorph = 175.7 meV/atom

Entry 2:
First-principles (PBE) data for crystalline HgMoW4 at its relaxed geometry, as listed in Alexandria via LeMat-Bulk.

abc: 7.4863 7.4863 7.4863
angles: 90.00 90.00 90.00
Space group F-43m (No. 216)
Unique sites:
Hg  0.0000  0.0000  0.0000 [4 per cell]
Mo  0.2500  0.2500  0.7500 [4 per cell]
W  0.1256  0.1256  0.3744 [16 per cell]

Output
N(E_F) = 5.151 states/eV per cell
E_tot = -9.950 eV/atom

The evaluated size of the total moment for the records listed, in turn: 0.00, 0.00 Bohr magnetons per cell.